# Ce2PuGe4Pt3, relaxed, DFT GGA-PBE
data_Ce2PuGe4Pt3
_cell_length_a 4.333
_cell_length_b 4.333
_cell_length_c 11.147
_cell_angle_alpha 90.00
_cell_angle_beta 90.00
_cell_angle_gamma 90.00
_space_group_name_H-M_alt 'P -4 m 2'
_space_group_IT_number 115
loop_
_space_group_symop_operation_xyz
'x,y,z'
'y,-x,-z'
'-x,-y,z'
'-y,x,-z'
'-x,y,z'
'-y,-x,-z'
'x,-y,z'
'y,x,-z'
loop_
_atom_site_label
_atom_site_type_symbol
_atom_site_fract_x
_atom_site_fract_y
_atom_site_fract_z
_atom_site_occupancy
Ce1 Ce 0.000 0.500 0.238 1
Pu1 Pu 0.000 0.000 0.500 1
Ge1 Ge 0.000 0.000 0.000 1
Ge2 Ge 0.000 0.500 0.665 1
Ge3 Ge 0.500 0.500 0.000 1
Pt1 Pt 0.000 0.500 0.885 1
Pt2 Pt 0.500 0.500 0.500 1
# ΔE_f = -757 meV per atom
# Raw total energy = -70.357 eV/cell
# DOS at the Fermi energy = 19.595 states/eV/f.u.